[1]
Pr2NpGeN5, optimized geometry, DFT GGA-PBE; energy = -8.5270 eV per atom
1.0
1.7283 -7.1728 0.0000
1.7283 7.1728 0.0000
0.0000 0.0000 10.6106
Pr Np Ge N
4 2 2 10
Cartesian
1.7283 5.6169 5.3053
1.7283 5.2644 1.4721
1.7283 -5.2644 6.7774
1.7283 -5.6169 0.0000
1.7283 4.2478 8.9466
1.7283 -4.2478 3.6413
1.7283 0.6588 2.7266
1.7283 -0.6588 8.0319
1.7283 6.5656 9.0083
1.7283 3.0521 5.0487
1.7283 2.5811 2.1668
1.7283 2.1869 8.7638
1.7283 0.1218 6.3828
1.7283 -0.1218 1.0775
1.7283 -2.1869 3.4585
1.7283 -2.5811 7.4720
1.7283 -3.0521 10.3539
1.7283 -6.5656 3.7030

[2]
Ba2MgP3Pd4, optimized geometry, DFT GGA-PBE; energy = -4.9672 eV per atom; formation enthalpy at 0 K = -0.72 eV per atom
1.0
4.4119 0.0000 0.0000
0.0000 4.4119 0.0000
0.0000 0.0000 10.3299
Ba Mg P Pd
2 1 3 4
Cartesian
0.0000 2.2059 2.5124
2.2059 0.0000 7.8175
0.0000 0.0000 5.1650
0.0000 2.2059 9.0716
2.2059 0.0000 1.2584
2.2059 2.2059 5.1650
0.0000 0.0000 0.0000
0.0000 2.2059 6.5356
2.2059 0.0000 3.7944
2.2059 2.2059 0.0000

[3]
InSN2F, optimized geometry, DFT GGA-PBE; energy = -3.9297 eV per atom; E above lowest polymorph = 0.457 eV per atom
1.0
4.4143 0.0000 0.0000
0.0000 4.4143 0.0000
0.0000 0.0000 4.1893
In S N F
1 1 2 1
Cartesian
0.0000 0.0000 0.0000
2.2071 2.2071 2.0946
0.0000 2.2071 0.0000
2.2071 0.0000 0.0000
0.0000 0.0000 2.0946

[4]
CeCd2Pd2, optimized geometry, DFT GGA-PBE; energy = -4.1098 eV per atom; formation enthalpy at 0 K = -0.48 eV per atom; E above lowest polymorph = 0.000 eV per atom
1.0
5.4525 0.0000 0.0000
0.0000 4.6548 0.0000
-2.7102 0.0000 8.6852
Ce Cd Pd
2 4 4
Cartesian
0.1986 1.1637 2.3270
2.5437 3.4911 6.3583
-0.4631 1.1637 5.5427
1.9786 3.4911 0.3974
0.7637 1.1637 8.2878
3.2054 3.4911 3.1425
-1.9922 1.1637 7.9741
0.4942 3.4911 4.1378
2.2481 1.1637 4.5474
4.7344 3.4911 0.7112

[5]
PaMnCo2Ge2, optimized geometry, DFT GGA-PBE; energy = -7.4330 eV per atom; formation enthalpy at 0 K = -0.41 eV per atom
1.0
4.0785 0.0000 0.0000
-2.0392 3.5321 0.0000
0.0000 0.0000 6.3889
Pa Mn Co Ge
1 1 2 2
Cartesian
0.0000 0.0000 0.0000
0.0000 0.0000 3.1944
0.0000 2.3547 4.5227
2.0392 1.1774 1.8662
0.0000 2.3547 1.9386
2.0392 1.1774 4.4503

[6]
Li2PmPr2Ge2, optimized geometry, DFT GGA-PBE; energy = -4.3964 eV per atom; formation enthalpy at 0 K = -0.49 eV per atom
1.0
2.2610 1.3054 9.6339
-2.2610 1.3054 9.6339
0.0000 -2.6108 9.6339
Li Pm Pr Ge
2 1 2 2
Cartesian
0.0000 0.0000 3.0658
0.0000 0.0000 25.8358
0.0000 0.0000 14.4508
0.0000 0.0000 10.8471
0.0000 0.0000 18.0545
0.0000 0.0000 6.6892
0.0000 0.0000 22.2124

[7]
Co2BiAu2, optimized geometry, DFT GGA-PBE; energy = -4.6270 eV per atom; formation enthalpy at 0 K = 0.30 eV per atom; E above lowest polymorph = 0.000 eV per atom
1.0
6.7192 0.0000 0.0000
0.0000 6.7192 0.0000
0.0000 0.0000 3.8355
Co Bi Au
4 2 4
Cartesian
0.8323 2.5273 0.0000
2.5273 5.8869 0.0000
4.1919 0.8323 0.0000
5.8869 4.1919 0.0000
0.0000 0.0000 0.0000
3.3596 3.3596 0.0000
1.0886 4.4482 1.9177
2.2710 1.0886 1.9177
4.4482 5.6306 1.9177
5.6306 2.2710 1.9177

[8]
La8NiRu3Br4, optimized geometry, DFT GGA-PBE; energy = -5.9175 eV per atom
1.0
4.1480 2.3949 7.9619
-4.1480 2.3949 7.9619
0.0000 -4.7897 7.9619
La Ni Ru Br
8 1 3 4
Cartesian
-2.1079 -1.2170 13.4897
0.0000 0.0000 5.5621
0.0000 -2.4340 10.3961
-2.1079 1.2170 10.3961
2.1079 -1.2170 13.4897
0.0000 2.4340 13.4897
0.0000 0.0000 18.3238
2.1079 1.2170 10.3961
0.0000 0.0000 11.9429
-4.1480 0.0000 11.9429
-2.0740 1.1974 3.9810
2.0740 1.1974 3.9810
0.0000 0.0000 0.0000
-2.0740 -1.1974 7.9619
-2.0740 1.1974 15.9239
0.0000 2.3949 7.9619

The calculation returns the following volume values, one per record and in order: 14.6 20.1 16.3 22.0 15.3 24.4 17.3 29.7 A^3/atom.